Record 1
9
Lattice="-1.654 1.680 1.742 -1.197 -1.326 -2.324 -3.343 -12.430 8.812" Properties=species:S:1:pos:R:3 comment="TaWN (PBE, optimized geometry)" e_form_raw_mev_per_atom=-413 total_magnetization_mub_per_cell=0.0 pbc="T T T"
N -2.500 -4.601 2.064
N -1.538 0.544 0.482
W -3.326 -7.674 4.242
W -2.364 -2.529 2.660
Ta -1.691 -1.593 -0.069
Ta -4.071 -8.878 7.162
Ta -1.456 -5.413 3.837
W -3.091 -11.494 8.148
N -2.265 -8.421 5.970

---

Record 2
18
Lattice="-0.544 -1.304 -3.686 -5.767 -5.785 5.012 -9.609 8.271 -1.509" Properties=species:S:1:pos:R:3 comment="K2LiCuCl5 (PBE, optimized geometry)" e_form_raw_mev_per_atom=-1401 total_magnetization_mub_per_cell=2.1 pbc="T T T"
Cl -8.679 -4.061 2.718
Cl -4.208 -1.961 -0.799
K -4.661 0.933 0.358
Li -3.071 -2.476 1.329
Cl -7.581 -1.015 1.478
Cu -9.490 -2.040 2.122
K -8.115 3.995 -0.216
Cu -10.009 6.302 -2.867
Cl -4.153 -4.389 2.166
Cl -10.868 -2.271 0.294
K -12.581 1.386 -0.748
K -6.518 -3.921 0.236
Cl -0.683 -0.308 0.210
Cl -7.824 5.745 -2.992
Li -8.873 0.235 -0.888
Cl -7.001 1.469 -1.600
Cl -9.904 1.587 0.900
Cl -10.869 4.374 -2.058

---

Record 3
4
Lattice="-3.076 0.926 -3.106 -2.252 -1.074 1.911 -1.648 4.796 3.062" Properties=species:S:1:pos:R:3 comment="Ta2HgTe (PBE, optimized geometry)" e_form_raw_mev_per_atom=518 total_magnetization_mub_per_cell=0.0 polymorph_energy_ev_per_atom=0.334 pbc="T T T"
Hg -4.464 3.255 2.177
Te -2.513 1.393 -0.310
Ta -1.904 1.822 2.429
Ta -0.047 0.039 0.058

---

Record 4
5
Lattice="5.330 0.000 0.000 0.000 5.330 0.000 0.000 0.000 5.330" Properties=species:S:1:pos:R:3 comment="RbBi3B (PBE, optimized geometry)" total_magnetization_mub_per_cell=0.0 polymorph_energy_ev_per_atom=0.000 e_form_ev_per_atom=0.548 pbc="T T T"
Bi 0.000 0.000 2.665
Rb 2.665 2.665 2.665
Bi 0.000 2.665 0.000
B 0.000 0.000 0.000
Bi 2.665 0.000 0.000

---

Record 5
4
Lattice="3.364 0.000 0.000 0.000 3.364 0.000 0.000 0.000 7.883" Properties=species:S:1:pos:R:3 comment="BaMn2Al (PBE, optimized geometry)" total_magnetization_mub_per_cell=7.1 e_form_ev_per_atom=0.391 pbc="T T T"
Ba 1.682 1.682 5.869
Al 0.000 0.000 3.260
Mn 0.000 0.000 0.645
Mn 1.682 1.682 2.051

---

Record 6
9
Lattice="-4.709 1.850 1.413 -4.370 -2.234 -1.874 -0.066 -3.199 3.968" Properties=species:S:1:pos:R:3 comment="PrMgOsO6 (PBE, optimized geometry)" e_form_raw_mev_per_atom=-2018 total_magnetization_mub_per_cell=1.0 pbc="T T T"
O -4.396 -1.664 0.474
O -3.064 0.172 1.976
Os -3.059 -1.728 1.830
Pr -4.776 -1.350 5.381
O -2.889 -3.620 1.692
O -1.815 -1.683 3.272
O -4.516 -1.910 3.044
O -1.676 -1.661 0.522
Mg -6.086 -1.856 1.676

---

Record 7
6
Lattice="-1.954 -3.300 -2.182 3.870 -2.099 -0.291 -1.420 -3.535 6.618" Properties=species:S:1:pos:R:3 comment="TmHfHg (PBE, optimized geometry)" total_magnetization_mub_per_cell=0.0 polymorph_energy_ev_per_atom=0.033 e_form_ev_per_atom=-0.142 pbc="T T T"
Hf 0.248 -4.467 2.072
Tm 0.739 -4.029 5.431
Hg 1.603 -1.876 1.402
Hg -2.065 -4.359 3.980
Tm -1.200 -2.206 -0.049
Hf -0.710 -1.768 3.309

---

Record 8
12
Lattice="-6.406 2.767 2.332 0.780 -2.101 -7.008 -0.266 -6.617 3.244" Properties=species:S:1:pos:R:3 comment="La3CeSm2Se6 (PBE, optimized geometry)" e_form_raw_mev_per_atom=-1913 total_magnetization_mub_per_cell=0.9 pbc="T T T"
Sm -1.614 -0.479 -3.897
Se -4.259 -1.098 -2.705
Ce 0.000 0.000 0.000
La -5.339 -1.354 2.394
La -2.946 -2.975 -0.716
Se -2.657 -0.614 1.186
Sm -4.012 1.146 -0.780
La -0.553 -4.596 -3.826
Se -1.632 -4.852 1.273
Se -5.637 -3.708 0.506
Se -3.234 -5.336 -2.618
Se -0.254 -2.242 -1.938